No. 1
K2LiH2Se2O6: relaxed, PBE.

Summary:
**Crystal system**: triclinic
**Relative energy among the computed polymorphs**: 221.5 meV per atom
**Density of states at the Fermi level**: 0.694 states/eV per cell
**Total energy**: -0.1713 hartree per atom

CIF file:
```
data_K2LiH2Se2O6
_chemical_formula_sum 'K2 Li1 H2 Se2 O6'
_space_group_name_H-M_alt 'P 1'
_space_group_IT_number 1
_cell_length_a 5.427
_cell_length_b 5.924
_cell_length_c 7.778
_cell_angle_alpha 103.24
_cell_angle_beta 107.27
_cell_angle_gamma 94.85
loop_
_space_group_symop_operation_xyz
'x,y,z'
loop_
_atom_site_label
_atom_site_fract_x
_atom_site_fract_y
_atom_site_fract_z
K1 0.000 0.000 0.000
K2 0.407 0.480 0.667
Li1 0.818 0.342 0.446
H1 0.007 0.445 0.231
H2 0.525 0.005 0.651
Se1 0.500 0.603 0.158
Se2 0.896 0.856 0.491
O1 0.053 0.341 0.312
O2 0.202 0.069 0.708
O3 0.435 0.956 0.737
O4 0.719 0.078 0.537
O5 0.720 0.622 0.036
O6 0.849 0.663 0.615
```

***

No. 2
ZrOs2Br: relaxed, PBE.

Summary:
**Raw formation energy**: 0.80 eV per atom
**Crystal system**: orthorhombic
**Relative energy among the computed polymorphs**: 684.3 meV per atom
**Density of states at the Fermi level**: 4.068 states/eV per cell
**Total energy**: -0.2707 hartree per atom

CIF file:
```
data_ZrOs2Br
_chemical_formula_sum 'Zr2 Os4 Br2'
_space_group_name_H-M_alt 'C m m m'
_space_group_IT_number 65
_space_group_name_Hall '-C 2 2'
_cell_length_a 6.084
_cell_length_b 7.178
_cell_length_c 3.160
_cell_angle_alpha 90.00
_cell_angle_beta 90.00
_cell_angle_gamma 90.00
loop_
_atom_site_label
_atom_site_fract_x
_atom_site_fract_y
_atom_site_fract_z
Zr1 0.000 0.000 0.000
Os1 0.250 0.250 0.500
Br1 0.000 0.500 0.000
```

***

No. 3
RhAu2F: relaxed, PBE.

Summary:
**Raw formation energy**: 0.09 eV per atom
**Crystal system**: cubic
**Relative energy among the computed polymorphs**: 0.0 meV per atom
**Density of states at the Fermi level**: 11.761 states/eV per cell
**Total energy**: -0.1415 hartree per atom

CIF file:
```
data_RhAu2F
_chemical_formula_sum 'Rh4 Au8 F4'
_space_group_name_H-M_alt 'F m -3 m'
_space_group_IT_number 225
_space_group_name_Hall '-F 4 2 3'
_cell_length_a 6.317
_cell_length_b 6.317
_cell_length_c 6.317
_cell_angle_alpha 90.00
_cell_angle_beta 90.00
_cell_angle_gamma 90.00
loop_
_atom_site_label
_atom_site_fract_x
_atom_site_fract_y
_atom_site_fract_z
Rh1 0.000 0.000 0.000
Au1 0.250 0.250 0.250
F1 0.000 0.000 0.500
```

***

No. 4
Sm6TlS4: relaxed, PBE.

Summary:
**Raw formation energy**: -1.57 eV per atom
**Crystal system**: orthorhombic
**Density of states at the Fermi level**: 27.345 states/eV per cell
**Total energy**: -0.2152 hartree per atom

CIF file:
```
data_Sm6TlS4
_chemical_formula_sum 'Sm24 Tl4 S16'
_space_group_name_H-M_alt 'C m c m'
_space_group_IT_number 63
_space_group_name_Hall '-C 2c 2'
_cell_length_a 4.039
_cell_length_b 13.462
_cell_length_c 20.646
_cell_angle_alpha 90.00
_cell_angle_beta 90.00
_cell_angle_gamma 90.00
loop_
_atom_site_label
_atom_site_fract_x
_atom_site_fract_y
_atom_site_fract_z
Sm1 0.000 0.000 0.000
Sm2 0.000 0.158 0.250
Sm3 0.000 0.272 0.582
Sm4 0.000 0.462 0.157
Tl1 0.000 0.161 0.750
S1 0.000 0.095 0.122
S2 0.000 0.363 0.040
```